## P
This record from Alexandria via LeMat-Bulk describes crystalline K2MnRu at its relaxed geometry. The functional is PBE.

Unit cell a=4.011 b=4.011 c=9.959 alpha=99.72 beta=99.72 gamma=59.84
Element x y z (fractional)
K (0.000, 0.000, 0.000)
K (0.153, 0.153, 0.545)
Mn (0.410, 0.410, 0.272)
Ru (0.743, 0.743, 0.272)

Values from the calculation:
V = 135.87 Å³ per cell


## Q
This record from Alexandria via LeMat-Bulk describes crystalline K2MnRu at its relaxed geometry. The functional is PBE.

Unit cell a=2.938 b=2.938 c=11.793 alpha=90.00 beta=90.00 gamma=115.08
Element x y z (fractional)
K (0.000, 0.000, 0.233)
K (0.000, 0.000, 0.767)
Mn (0.500, 0.500, 0.500)
Ru (0.500, 0.500, 0.000)

Values from the calculation:
V = 92.20 Å³ per cell


Energy comparison, zero being the most stable, in meV per atom: P 0; Q 567.


## P
This record from Alexandria via LeMat-Bulk describes crystalline K2MnRu at its relaxed geometry. The functional is PBE.

Unit cell a=3.083 b=3.700 c=10.225 alpha=90.00 beta=91.40 gamma=90.00
Element x y z (fractional)
K (0.000, 0.000, 0.000)
K (0.450, 0.500, 0.415)
Mn (0.977, 0.000, 0.674)
Ru (0.483, 0.500, 0.744)

Values from the calculation:
V = 116.62 Å³ per cell


## Q
This record from Alexandria via LeMat-Bulk describes crystalline K2MnRu at its relaxed geometry. The functional is PBE.

Unit cell a=6.509 b=6.509 c=2.922 alpha=101.31 beta=101.31 gamma=127.37
Element x y z (fractional)
K (0.000, 0.500, 0.000)
K (0.500, 0.000, 0.000)
Mn (0.000, 0.000, 0.500)
Ru (0.500, 0.500, 0.500)

Values from the calculation:
V = 88.24 Å³ per cell


Energy comparison, zero being the most stable, in meV per atom: P 0; Q 561.


## P
This record from Alexandria via LeMat-Bulk describes crystalline K2MnRu at its relaxed geometry. The functional is PBE.

Unit cell a=4.067 b=4.067 c=5.642 alpha=90.00 beta=90.00 gamma=90.00
Element x y z (fractional)
K (0.000, 0.500, 0.000)
K (0.500, 0.000, 0.000)
Mn (0.000, 0.000, 0.500)
Ru (0.500, 0.500, 0.500)

Values from the calculation:
V = 93.33 Å³ per cell


## Q
This record from Alexandria via LeMat-Bulk describes crystalline K2MnRu at its relaxed geometry. The functional is PBE.

Unit cell a=5.532 b=5.532 c=5.532 alpha=60.00 beta=60.00 gamma=60.00
Element x y z (fractional)
K (0.250, 0.250, 0.250)
K (0.750, 0.750, 0.750)
Mn (0.000, 0.000, 0.000)
Ru (0.500, 0.500, 0.500)

Values from the calculation:
V = 119.74 Å³ per cell


## R
This record from Alexandria via LeMat-Bulk describes crystalline K2MnRu at its relaxed geometry. The functional is PBE.

Unit cell a=2.902 b=2.902 c=11.606 alpha=90.00 beta=90.00 gamma=90.00
Element x y z (fractional)
K (0.000, 0.000, 0.228)
K (0.000, 0.000, 0.772)
Mn (0.500, 0.500, 0.500)
Ru (0.500, 0.500, 0.000)

Values from the calculation:
V = 97.73 Å³ per cell


Energy comparison, zero being the most stable, in meV per atom: P 0; Q 390; R 54.


## P
This record from Alexandria via LeMat-Bulk describes crystalline K2MnRu at its relaxed geometry. The functional is PBE.

Unit cell a=11.905 b=11.905 c=11.905 alpha=14.25 beta=14.25 gamma=14.25
Element x y z (fractional)
K (0.244, 0.244, 0.244)
K (0.756, 0.756, 0.756)
Mn (0.000, 0.000, 0.000)
Ru (0.500, 0.500, 0.500)

Values from the calculation:
V = 89.03 Å³ per cell


## Q
This record from Alexandria via LeMat-Bulk describes crystalline K2MnRu at its relaxed geometry. The functional is PBE.

Unit cell a=2.891 b=5.648 c=5.779 alpha=90.00 beta=90.00 gamma=90.00
Element x y z (fractional)
K (0.000, 0.000, 0.244)
K (0.000, 0.000, 0.756)
Mn (0.500, 0.500, 0.500)
Ru (0.500, 0.500, 0.000)

Values from the calculation:
V = 94.35 Å³ per cell


Energy comparison, zero being the most stable, in meV per atom: P 11; Q 0.


## P
This record from Alexandria via LeMat-Bulk describes crystalline KMn2Ru at its relaxed geometry. The functional is PBE.

Unit cell a=8.641 b=8.641 c=8.641 alpha=143.44 beta=143.44 gamma=52.67
Element x y z (fractional)
K (0.375, 0.625, 0.750)
K (0.625, 0.375, 0.250)
Mn (0.000, 0.000, 0.000)
Mn (0.000, 0.000, 0.500)
Mn (0.000, 0.500, 0.000)
Mn (0.500, 0.000, 0.500)
Ru (0.125, 0.875, 0.250)
Ru (0.875, 0.125, 0.750)

Values from the calculation:
V = 227.55 Å³ per cell


## Q
This record from Alexandria via LeMat-Bulk describes crystalline KMn2Ru at its relaxed geometry. The functional is PBE.

Unit cell a=6.143 b=6.143 c=6.143 alpha=153.04 beta=125.01 gamma=62.29
Element x y z (fractional)
K (0.000, 0.000, 0.000)
Mn (0.301, 0.801, 0.500)
Mn (0.699, 0.199, 0.500)
Ru (0.500, 0.500, 0.000)

Values from the calculation:
V = 85.42 Å³ per cell


## R
This record from Alexandria via LeMat-Bulk describes crystalline KMn2Ru at its relaxed geometry. The functional is PBE.

Unit cell a=4.345 b=4.345 c=7.370 alpha=93.78 beta=93.78 gamma=38.65
Element x y z (fractional)
K (0.000, 0.000, 0.000)
Mn (0.233, 0.233, 0.647)
Mn (0.767, 0.767, 0.353)
Ru (0.500, 0.500, 0.500)

Values from the calculation:
V = 86.67 Å³ per cell


## S
This record from Alexandria via LeMat-Bulk describes crystalline KMn2Ru at its relaxed geometry. The functional is PBE.

Unit cell a=2.736 b=5.054 c=5.357 alpha=90.00 beta=90.00 gamma=90.00
Element x y z (fractional)
K (0.000, 0.000, 0.000)
Mn (0.000, 0.500, 0.500)
Mn (0.500, 0.500, 0.000)
Ru (0.500, 0.000, 0.500)

Values from the calculation:
V = 74.07 Å³ per cell


Energy comparison, zero being the most stable, in meV per atom: P 422; Q 306; R 0; S 571.


## P
This record from Alexandria via LeMat-Bulk describes crystalline KMn3Ru at its relaxed geometry. The functional is PBE.

Unit cell a=4.581 b=4.581 c=4.581 alpha=90.00 beta=90.00 gamma=90.00
Element x y z (fractional)
K (0.000, 0.000, 0.000)
Mn (0.000, 0.000, 0.500)
Mn (0.000, 0.500, 0.000)
Mn (0.500, 0.000, 0.000)
Ru (0.500, 0.500, 0.500)

Values from the calculation:
V = 96.11 Å³ per cell


## Q
This record from Alexandria via LeMat-Bulk describes crystalline KMn3Ru at its relaxed geometry. The functional is PBE.

Unit cell a=4.941 b=4.941 c=4.941 alpha=90.00 beta=90.00 gamma=90.00
Element x y z (fractional)
K (0.000, 0.000, 0.000)
Mn (0.000, 0.500, 0.500)
Mn (0.500, 0.000, 0.500)
Mn (0.500, 0.500, 0.000)
Ru (0.500, 0.500, 0.500)

Values from the calculation:
V = 120.63 Å³ per cell


Energy comparison, zero being the most stable, in meV per atom: P 1517; Q 0.


## P
This record from Alexandria via LeMat-Bulk describes crystalline K5MnS4 at its relaxed geometry. The functional is PBE.

Unit cell a=9.118 b=9.118 c=7.546 alpha=94.57 beta=94.57 gamma=30.12
Element x y z (fractional)
K (0.000, 0.000, 0.000)
K (0.311, 0.311, 0.384)
K (0.379, 0.379, 0.856)
K (0.621, 0.621, 0.144)
K (0.689, 0.689, 0.616)
Mn (0.000, 0.000, 0.500)
S (0.125, 0.125, 0.393)
S (0.461, 0.461, 0.259)
S (0.539, 0.539, 0.741)
S (0.875, 0.875, 0.607)

Values from the calculation:
V = 313.69 Å³ per cell


## Q
This record from Alexandria via LeMat-Bulk describes crystalline K5MnS4 at its relaxed geometry. The functional is PBE.

Unit cell a=9.610 b=9.771 c=6.994 alpha=90.00 beta=90.00 gamma=90.00
Element x y z (fractional)
K (0.018, 0.059, 0.241)
K (0.018, 0.441, 0.241)
K (0.250, 0.750, 0.355)
K (0.482, 0.059, 0.241)
K (0.482, 0.441, 0.241)
K (0.518, 0.559, 0.759)
K (0.518, 0.941, 0.759)
K (0.750, 0.250, 0.645)
K (0.982, 0.559, 0.759)
K (0.982, 0.941, 0.759)
Mn (0.250, 0.250, 0.716)
Mn (0.750, 0.750, 0.284)
S (0.034, 0.250, 0.867)
S (0.250, 0.038, 0.560)
S (0.250, 0.462, 0.560)
S (0.466, 0.250, 0.867)
S (0.534, 0.750, 0.133)
S (0.750, 0.538, 0.440)
S (0.750, 0.962, 0.440)
S (0.966, 0.750, 0.133)

Values from the calculation:
V = 656.70 Å³ per cell


Energy comparison, zero being the most stable, in meV per atom: P 243; Q 0.


## P
This record from Alexandria via LeMat-Bulk describes crystalline K3MnS3 at its relaxed geometry. The functional is PBE.

Unit cell a=7.662 b=7.662 c=7.601 alpha=97.29 beta=97.29 gamma=113.75
Element x y z (fractional)
K (0.180, 0.820, 0.000)
K (0.259, 0.741, 0.500)
K (0.391, 0.391, 0.144)
K (0.609, 0.609, 0.856)
K (0.741, 0.259, 0.500)
K (0.820, 0.180, 0.000)
Mn (0.148, 0.148, 0.636)
Mn (0.852, 0.852, 0.364)
S (0.110, 0.110, 0.336)
S (0.146, 0.426, 0.772)
S (0.426, 0.146, 0.772)
S (0.574, 0.854, 0.228)
S (0.854, 0.574, 0.228)
S (0.890, 0.890, 0.664)

Values from the calculation:
V = 397.32 Å³ per cell


## Q
This record from Alexandria via LeMat-Bulk describes crystalline K3MnS3 at its relaxed geometry. The functional is PBE.

Unit cell a=8.830 b=7.676 c=12.226 alpha=90.00 beta=96.56 gamma=90.00
Element x y z (fractional)
K (0.072, 0.152, 0.130)
K (0.072, 0.348, 0.630)
K (0.325, 0.716, 0.791)
K (0.325, 0.784, 0.291)
K (0.393, 0.223, 0.925)
K (0.393, 0.277, 0.425)
K (0.607, 0.723, 0.575)
K (0.607, 0.777, 0.075)
K (0.675, 0.216, 0.709)
K (0.675, 0.284, 0.209)
K (0.928, 0.652, 0.370)
K (0.928, 0.848, 0.870)
Mn (0.165, 0.579, 0.051)
Mn (0.165, 0.921, 0.551)
Mn (0.835, 0.079, 0.449)
Mn (0.835, 0.421, 0.949)
S (0.075, 0.059, 0.387)
S (0.075, 0.441, 0.887)
S (0.251, 0.647, 0.524)
S (0.251, 0.853, 0.024)
S (0.346, 0.069, 0.658)
S (0.346, 0.431, 0.158)
S (0.654, 0.569, 0.842)
S (0.654, 0.931, 0.342)
S (0.749, 0.147, 0.976)
S (0.749, 0.353, 0.476)
S (0.925, 0.559, 0.113)
S (0.925, 0.941, 0.613)

Values from the calculation:
V = 823.28 Å³ per cell


Energy comparison, zero being the most stable, in meV per atom: P 14; Q 0.


## P
This record from Alexandria via LeMat-Bulk describes crystalline KMn3Sb at its relaxed geometry. The functional is PBE.

Unit cell a=5.176 b=5.176 c=5.176 alpha=90.00 beta=90.00 gamma=90.00
Element x y z (fractional)
K (0.000, 0.000, 0.000)
Mn (0.000, 0.500, 0.500)
Mn (0.500, 0.000, 0.500)
Mn (0.500, 0.500, 0.000)
Sb (0.500, 0.500, 0.500)

Values from the calculation:
V = 138.67 Å³ per cell


## Q
This record from Alexandria via LeMat-Bulk describes crystalline KMn3Sb at its relaxed geometry. The functional is PBE.

Unit cell a=4.935 b=4.935 c=4.935 alpha=90.00 beta=90.00 gamma=90.00
Element x y z (fractional)
K (0.000, 0.000, 0.000)
Mn (0.000, 0.000, 0.500)
Mn (0.000, 0.500, 0.000)
Mn (0.500, 0.000, 0.000)
Sb (0.500, 0.500, 0.500)

Values from the calculation:
V = 120.18 Å³ per cell


Energy comparison, zero being the most stable, in meV per atom: P 0; Q 1059.


## P
This record from Alexandria via LeMat-Bulk describes crystalline KMn2SiSb at its relaxed geometry. The functional is PBE.

Unit cell a=4.439 b=4.439 c=5.242 alpha=90.00 beta=90.00 gamma=90.00
Element x y z (fractional)
K (0.000, 0.000, 0.000)
Mn (0.000, 0.500, 0.000)
Mn (0.500, 0.000, 0.000)
Si (0.000, 0.000, 0.500)
Sb (0.500, 0.500, 0.500)

Values from the calculation:
V = 103.27 Å³ per cell


## Q
This record from Alexandria via LeMat-Bulk describes crystalline KMn2SiSb at its relaxed geometry. The functional is PBE.

Unit cell a=4.314 b=4.314 c=5.839 alpha=90.00 beta=90.00 gamma=90.00
Element x y z (fractional)
K (0.000, 0.000, 0.000)
Mn (0.000, 0.500, 0.000)
Mn (0.500, 0.000, 0.000)
Si (0.500, 0.500, 0.500)
Sb (0.000, 0.000, 0.500)

Values from the calculation:
V = 108.66 Å³ per cell


Energy comparison, zero being the most stable, in meV per atom: P 0; Q 121.


## P
This record from Alexandria via LeMat-Bulk describes crystalline KSc2Mn at its relaxed geometry. The functional is PBE.

Unit cell a=4.962 b=4.962 c=4.962 alpha=60.00 beta=60.00 gamma=60.00
Element x y z (fractional)
K (0.000, 0.000, 0.000)
Sc (0.250, 0.250, 0.250)
Sc (0.750, 0.750, 0.750)
Mn (0.500, 0.500, 0.500)

Values from the calculation:
V = 86.41 Å³ per cell


## Q
This record from Alexandria via LeMat-Bulk describes crystalline KSc2Mn at its relaxed geometry. The functional is PBE.

Unit cell a=7.281 b=7.281 c=7.281 alpha=60.00 beta=60.00 gamma=60.00
Element x y z (fractional)
K (0.125, 0.125, 0.125)
K (0.875, 0.875, 0.875)
Sc (0.000, 0.500, 0.500)
Sc (0.500, 0.000, 0.500)
Sc (0.500, 0.500, 0.000)
Sc (0.500, 0.500, 0.500)
Mn (0.375, 0.375, 0.375)
Mn (0.625, 0.625, 0.625)

Values from the calculation:
V = 272.97 Å³ per cell


## R
This record from Alexandria via LeMat-Bulk describes crystalline KSc2Mn at its relaxed geometry. The functional is PBE.

Unit cell a=11.272 b=11.272 c=11.272 alpha=16.53 beta=16.53 gamma=16.53
Element x y z (fractional)
K (0.000, 0.000, 0.000)
Sc (0.435, 0.435, 0.435)
Sc (0.565, 0.565, 0.565)
Mn (0.500, 0.500, 0.500)

Values from the calculation:
V = 101.08 Å³ per cell


Energy comparison, zero being the most stable, in meV per atom: P 300; Q 0; R 195.